1.
DFT (GGA-PBE) results for a relaxed structure of SmErThAl.

The calculation puts the total magnetic moment at 0.00 Bohr magnetons per cell. Its total DFT energy (no corrections) is -82.2 eV for the cell shown. The value obtained for the theoretical density is 8.586 g/cm³. The formation energy is -25 meV per atom.

Cell: 7.6409 7.6409 7.6409 Å, 90.00 90.00 90.00°
Element x y z (fractional)
Sm 0.0000 0.0000 0.0000
Sm 0.0000 0.5000 0.5000
Sm 0.5000 0.0000 0.5000
Sm 0.5000 0.5000 0.0000
Er 0.2500 0.2500 0.7500
Er 0.2500 0.7500 0.2500
Er 0.7500 0.2500 0.2500
Er 0.7500 0.7500 0.7500
Th 0.0000 0.0000 0.5000
Th 0.0000 0.5000 0.0000
Th 0.5000 0.0000 0.0000
Th 0.5000 0.5000 0.5000
Al 0.2500 0.2500 0.2500
Al 0.2500 0.7500 0.7500
Al 0.7500 0.2500 0.7500
Al 0.7500 0.7500 0.2500


2.
DFT (GGA-PBE) results for a relaxed structure of SmErTiAl.

The calculation puts the total magnetic moment at 9.73 Bohr magnetons per cell. Its total DFT energy (no corrections) is -84.2 eV for the cell shown. The value obtained for the theoretical density is 6.692 g/cm³. The formation energy is -33 meV per atom.

Cell: 7.3033 7.3033 7.3033 Å, 90.00 90.00 90.00°
Element x y z (fractional)
Sm 0.0000 0.0000 0.0000
Sm 0.0000 0.5000 0.5000
Sm 0.5000 0.0000 0.5000
Sm 0.5000 0.5000 0.0000
Er 0.0000 0.0000 0.5000
Er 0.0000 0.5000 0.0000
Er 0.5000 0.0000 0.0000
Er 0.5000 0.5000 0.5000
Ti 0.2500 0.2500 0.2500
Ti 0.2500 0.7500 0.7500
Ti 0.7500 0.2500 0.7500
Ti 0.7500 0.7500 0.2500
Al 0.2500 0.2500 0.7500
Al 0.2500 0.7500 0.2500
Al 0.7500 0.2500 0.2500
Al 0.7500 0.7500 0.7500


3.
DFT (GGA-PBE) results for a relaxed structure of SmErAlTl.

The calculation puts the total magnetic moment at 0.02 Bohr magnetons per cell. Its total DFT energy (no corrections) is -66.9 eV for the cell shown. The value obtained for the theoretical density is 8.769 g/cm³. The energy above the most stable polymorph in this dataset is 26 meV per atom. The formation energy is -332 meV per atom.

Cell: 7.4639 7.4639 7.4639 Å, 90.00 90.00 90.00°
Element x y z (fractional)
Sm 0.0000 0.0000 0.0000
Sm 0.0000 0.5000 0.5000
Sm 0.5000 0.0000 0.5000
Sm 0.5000 0.5000 0.0000
Er 0.0000 0.0000 0.5000
Er 0.0000 0.5000 0.0000
Er 0.5000 0.0000 0.0000
Er 0.5000 0.5000 0.5000
Al 0.2500 0.2500 0.7500
Al 0.2500 0.7500 0.2500
Al 0.7500 0.2500 0.2500
Al 0.7500 0.7500 0.7500
Tl 0.2500 0.2500 0.2500
Tl 0.2500 0.7500 0.7500
Tl 0.7500 0.2500 0.7500
Tl 0.7500 0.7500 0.2500


4.
DFT (GGA-PBE) results for a relaxed structure of SmErAlTl.

The calculation puts the total magnetic moment at 0.00 Bohr magnetons per cell. Its total DFT energy (no corrections) is -16.8 eV for the cell shown. The value obtained for the theoretical density is 8.795 g/cm³. The energy above the most stable polymorph in this dataset is 0 meV per atom. The formation energy is -358 meV per atom.

Cell: 3.6631 3.6631 7.7244 Å, 90.00 90.00 90.00°
Element x y z (fractional)
Sm 0.0000 0.0000 0.0000
Er 0.0000 0.0000 0.4709
Al 0.5000 0.5000 0.2438
Tl 0.5000 0.5000 0.7241


5.
DFT (GGA-PBE) results for a relaxed structure of Er2AlSn.

The calculation puts the total magnetic moment at 0.00 Bohr magnetons per cell. Its total DFT energy (no corrections) is -49.6 eV for the cell shown. The value obtained for the theoretical density is 7.263 g/cm³. The formation energy is 84 meV per atom.

Cell: 3.3410 3.3410 34.0692 Å, 90.00 90.00 120.00°
Element x y z (fractional)
Er 0.0000 0.0000 0.0893
Er 0.0000 0.0000 0.9107
Er 0.3333 0.6667 0.5774
Er 0.3333 0.6667 0.7559
Er 0.6667 0.3333 0.2441
Er 0.6667 0.3333 0.4226
Al 0.0000 0.0000 0.0000
Al 0.3333 0.6667 0.6667
Al 0.6667 0.3333 0.3333
Sn 0.0000 0.0000 0.5000
Sn 0.3333 0.6667 0.1667
Sn 0.6667 0.3333 0.8333


6.
DFT (GGA-PBE) results for a relaxed structure of Er2AlSn4.

The calculation puts the total magnetic moment at 0.00 Bohr magnetons per cell. Its total DFT energy (no corrections) is -31.4 eV for the cell shown. The value obtained for the theoretical density is 7.620 g/cm³. The formation energy is -364 meV per atom.

Cell: 4.3736 4.3736 9.5284 Å, 90.00 90.00 90.00°
Element x y z (fractional)
Er 0.0000 0.5000 0.2419
Er 0.5000 0.0000 0.7581
Al 0.5000 0.5000 0.0000
Sn 0.0000 0.0000 0.5000
Sn 0.0000 0.5000 0.8250
Sn 0.5000 0.0000 0.1750
Sn 0.5000 0.5000 0.5000


7.
DFT (GGA-PBE) results for a relaxed structure of Er8AlSn2.

The calculation puts the total magnetic moment at 0.00 Bohr magnetons per cell. Its total DFT energy (no corrections) is -51.7 eV for the cell shown. The value obtained for the theoretical density is 8.582 g/cm³. The formation energy is -310 meV per atom.

Cell: 9.9033 9.9033 6.6444 Å, 104.03 104.03 29.44°
Element x y z (fractional)
Er 0.0207 0.0207 0.2749
Er 0.2156 0.2156 0.8199
Er 0.3459 0.3459 0.5006
Er 0.4091 0.4091 0.0289
Er 0.5909 0.5909 0.9711
Er 0.6541 0.6541 0.4994
Er 0.7844 0.7844 0.1801
Er 0.9793 0.9793 0.7251
Al 0.5000 0.5000 0.5000
Sn 0.1810 0.1810 0.2577
Sn 0.8190 0.8190 0.7423


8.
DFT (GGA-PBE) results for a relaxed structure of Er3AlSn2.

The calculation puts the total magnetic moment at 0.00 Bohr magnetons per cell. Its total DFT energy (no corrections) is -115.5 eV for the cell shown. The value obtained for the theoretical density is 8.149 g/cm³. The formation energy is -573 meV per atom.

Cell: 12.1088 4.4251 11.6551 Å, 90.00 90.00 90.00°
Element x y z (fractional)
Er 0.0490 0.2500 0.1217
Er 0.1295 0.7500 0.5631
Er 0.2182 0.2500 0.7958
Er 0.2818 0.7500 0.2958
Er 0.3705 0.2500 0.0631
Er 0.4510 0.7500 0.6217
Er 0.5490 0.2500 0.3783
Er 0.6295 0.7500 0.9369
Er 0.7182 0.2500 0.7042
Er 0.7818 0.7500 0.2042
Er 0.8705 0.2500 0.4369
Er 0.9510 0.7500 0.8783
Al 0.1309 0.2500 0.3703
Al 0.3691 0.7500 0.8703
Al 0.6309 0.2500 0.1297
Al 0.8691 0.7500 0.6297
Sn 0.0089 0.7500 0.3125
Sn 0.1857 0.7500 0.0065
Sn 0.3143 0.2500 0.5065
Sn 0.4911 0.2500 0.8125
Sn 0.5089 0.7500 0.1875
Sn 0.6857 0.7500 0.4935
Sn 0.8143 0.2500 0.9935
Sn 0.9911 0.2500 0.6875


9.
DFT (GGA-PBE) results for a relaxed structure of Er3AlSn.

The calculation puts the total magnetic moment at 0.00 Bohr magnetons per cell. Its total DFT energy (no corrections) is -45.1 eV for the cell shown. The value obtained for the theoretical density is 8.116 g/cm³. The formation energy is -228 meV per atom.

Cell: 7.4572 7.4572 7.4572 Å, 133.98 85.95 112.09°
Element x y z (fractional)
Er 0.0000 0.0000 0.5000
Er 0.0000 0.5000 0.0000
Er 0.2313 0.1259 0.1054
Er 0.4795 0.8741 0.6054
Er 0.5205 0.1259 0.3946
Er 0.7687 0.8741 0.8946
Al 0.3226 0.5726 0.7500
Al 0.6774 0.4274 0.2500
Sn 0.0000 0.5000 0.5000
Sn 0.5000 0.5000 0.0000


10.
DFT (GGA-PBE) results for a relaxed structure of Er3Al12Sn5.

The calculation puts the total magnetic moment at 0.00 Bohr magnetons per cell. Its total DFT energy (no corrections) is -284.4 eV for the cell shown. The value obtained for the theoretical density is 4.168 g/cm³. The formation energy is 376 meV per atom.

Cell: 14.3215 14.3215 14.3215 Å, 109.47 109.47 109.47°
Element x y z (fractional)
Er 0.1250 0.2500 0.3750
Er 0.1250 0.3750 0.7500
Er 0.2500 0.3750 0.1250
Er 0.2500 0.8750 0.6250
Er 0.3750 0.1250 0.2500
Er 0.3750 0.7500 0.1250
Er 0.6250 0.2500 0.8750
Er 0.6250 0.8750 0.7500
Er 0.7500 0.1250 0.3750
Er 0.7500 0.6250 0.8750
Er 0.8750 0.6250 0.2500
Er 0.8750 0.7500 0.6250
Al 0.0631 0.2236 0.1378
Al 0.0631 0.3395 0.9252
Al 0.0748 0.6378 0.4142
Al 0.0748 0.9369 0.6605
Al 0.0858 0.7236 0.6605
Al 0.0858 0.8622 0.4252
Al 0.1378 0.0631 0.2236
Al 0.1378 0.5748 0.9142
Al 0.1605 0.2236 0.5858
Al 0.1605 0.4369 0.5748
Al 0.2236 0.1378 0.0631
Al 0.2236 0.5858 0.1605
Al 0.2764 0.3395 0.9142
Al 0.2764 0.4369 0.3622
Al 0.3395 0.9142 0.2764
Al 0.3395 0.9252 0.0631
Al 0.3622 0.2764 0.4369
Al 0.3622 0.5858 0.9252
Al 0.4142 0.0748 0.6378
Al 0.4142 0.8395 0.7764
Al 0.4252 0.0858 0.8622
Al 0.4252 0.8395 0.5631
Al 0.4369 0.3622 0.2764
Al 0.4369 0.5748 0.1605
Al 0.5631 0.4252 0.8395
Al 0.5631 0.6378 0.7236
Al 0.5748 0.1605 0.4369
Al 0.5748 0.9142 0.1378
Al 0.5858 0.1605 0.2236
Al 0.5858 0.9252 0.3622
Al 0.6378 0.4142 0.0748
Al 0.6378 0.7236 0.5631
Al 0.6605 0.0748 0.9369
Al 0.6605 0.0858 0.7236
Al 0.7236 0.5631 0.6378
Al 0.7236 0.6605 0.0858
Al 0.7764 0.4142 0.8395
Al 0.7764 0.8622 0.9369
Al 0.8395 0.5631 0.4252
Al 0.8395 0.7764 0.4142
Al 0.8622 0.4252 0.0858
Al 0.8622 0.9369 0.7764
Al 0.9142 0.1378 0.5748
Al 0.9142 0.2764 0.3395
Al 0.9252 0.0631 0.3395
Al 0.9252 0.3622 0.5858
Al 0.9369 0.6605 0.0748
Al 0.9369 0.7764 0.8622
Sn 0.0000 0.0000 0.0000
Sn 0.0000 0.0000 0.5000
Sn 0.0000 0.5000 0.0000
Sn 0.0000 0.5000 0.5000
Sn 0.1250 0.7500 0.8750
Sn 0.1250 0.8750 0.2500
Sn 0.2500 0.1250 0.8750
Sn 0.2500 0.6250 0.3750
Sn 0.3750 0.2500 0.6250
Sn 0.3750 0.6250 0.7500
Sn 0.5000 0.0000 0.0000
Sn 0.5000 0.0000 0.5000
Sn 0.5000 0.5000 0.0000
Sn 0.5000 0.5000 0.5000
Sn 0.6250 0.3750 0.2500
Sn 0.6250 0.7500 0.3750
Sn 0.7500 0.3750 0.6250
Sn 0.7500 0.8750 0.1250
Sn 0.8750 0.1250 0.7500
Sn 0.8750 0.2500 0.1250


11.
DFT (GGA-PBE) results for a relaxed structure of Er4AlSn.

The calculation puts the total magnetic moment at 0.01 Bohr magnetons per cell. Its total DFT energy (no corrections) is -54.5 eV for the cell shown. The value obtained for the theoretical density is 7.440 g/cm³. The formation energy is -209 meV per atom.

Cell: 8.7367 8.7367 8.7367 Å, 131.75 131.75 70.63°
Element x y z (fractional)
Er 0.0000 0.2399 0.2399
Er 0.0000 0.7601 0.7601
Er 0.2399 0.0000 0.7399
Er 0.2399 0.5000 0.2399
Er 0.5000 0.2399 0.7399
Er 0.5000 0.7601 0.2601
Er 0.7601 0.0000 0.2601
Er 0.7601 0.5000 0.7601
Al 0.1250 0.8750 0.2500
Al 0.8750 0.1250 0.7500
Sn 0.3750 0.6250 0.7500
Sn 0.6250 0.3750 0.2500


12.
DFT (GGA-PBE) results for a relaxed structure of Er2AlSn.

The calculation puts the total magnetic moment at 0.00 Bohr magnetons per cell. Its total DFT energy (no corrections) is -18.8 eV for the cell shown. The value obtained for the theoretical density is 8.162 g/cm³. The formation energy is -482 meV per atom.

Cell: 4.7872 4.7872 4.2633 Å, 90.00 90.00 90.00°
Element x y z (fractional)
Er 0.0000 0.5000 0.0000
Er 0.5000 0.0000 0.0000
Al 0.0000 0.0000 0.5000
Sn 0.5000 0.5000 0.5000


- Number 2 is which compound?
  SmErTiAl